No. 1
TmGa3Pt2 after structural relaxation. Source: Alexandria, functional PBE.

```
data_TmGa3Pt2
_chemical_formula_sum 'Tm6 Ga18 Pt12'
_cell_length_a 16.881
_cell_length_b 4.028
_cell_length_c 9.979
_cell_angle_alpha 90.00
_cell_angle_beta 104.74
_cell_angle_gamma 90.00
_symmetry_space_group_name_H-M 'C 1 2/m 1'
_symmetry_Int_Tables_number 12
_symmetry_space_group_name_Hall '-C 2y'
loop_
_atom_site_label
_atom_site_fract_x
_atom_site_fract_y
_atom_site_fract_z
_atom_site_occupancy
Tm1 0.000 0.000 0.000 1
Tm2 0.152 0.000 0.704 1
Ga1 0.000 0.500 0.500 1
Ga2 0.045 0.000 0.360 1
Ga3 0.131 0.500 0.191 1
Ga4 0.156 0.500 0.945 1
Ga5 0.221 0.000 0.380 1
Pt1 0.018 0.500 0.782 1
Pt2 0.142 0.500 0.454 1
Pt3 0.207 0.000 0.116 1
```

Results
- N(E_F) (states/eV/f.u.) = 2.323
- total energy (eV/atom) = -5.08
- DFT formation energy (eV per formula unit) = -4.83
- crystal system = monoclinic

---

No. 2
TmGaPt3 after structural relaxation. Source: Alexandria, functional PBE.

```
data_TmGaPt3
_chemical_formula_sum 'Tm2 Ga2 Pt6'
_cell_length_a 5.882
_cell_length_b 6.687
_cell_length_c 5.061
_cell_angle_alpha 90.00
_cell_angle_beta 90.00
_cell_angle_gamma 90.00
_symmetry_space_group_name_H-M 'P b a m'
_symmetry_Int_Tables_number 55
_symmetry_space_group_name_Hall '-P 2 2ab'
loop_
_atom_site_label
_atom_site_fract_x
_atom_site_fract_y
_atom_site_fract_z
_atom_site_occupancy
Tm1 0.000 0.000 0.000 1
Ga1 0.000 0.500 0.500 1
Pt1 0.000 0.500 0.000 1
Pt2 0.134 0.161 0.500 1
```

Results
- N(E_F) (states/eV/f.u.) = 1.200
- excess energy over the best structure of this formula in the dataset (eV per formula unit) = 1.517
- total energy (eV/atom) = -5.74
- DFT formation energy (eV per formula unit) = -3.07
- crystal system = orthorhombic

---

No. 3
Tm2Ga5Pt3 after structural relaxation. Source: Alexandria, functional PBE.

```
data_Tm2Ga5Pt3
_chemical_formula_sum 'Tm8 Ga20 Pt12'
_cell_length_a 4.316
_cell_length_b 24.787
_cell_length_c 6.749
_cell_angle_alpha 90.00
_cell_angle_beta 90.00
_cell_angle_gamma 90.00
_symmetry_space_group_name_H-M 'C m c 21'
_symmetry_Int_Tables_number 36
_symmetry_space_group_name_Hall 'C 2c -2'
loop_
_atom_site_label
_atom_site_fract_x
_atom_site_fract_y
_atom_site_fract_z
_atom_site_occupancy
Tm1 0.000 0.017 0.000 1
Tm2 0.000 0.325 0.974 1
Ga1 0.000 0.104 0.658 1
Ga2 0.000 0.206 0.171 1
Ga3 0.000 0.207 0.762 1
Ga4 0.000 0.377 0.507 1
Ga5 0.000 0.449 0.823 1
Pt1 0.000 0.106 0.265 1
Pt2 0.000 0.274 0.464 1
Pt3 0.000 0.449 0.217 1
```

Results
- N(E_F) (states/eV/f.u.) = 4.810
- total energy (eV/atom) = -5.12
- DFT formation energy (eV per formula unit) = -8.97
- crystal system = orthorhombic

---

What did we get for total magnetic moment? Answer: 0.0, 0.0, 0.0 μB per cell, in the order shown.